# 1
{
  "formula": "Tm3Ga2Ni9Sn",
  "functional": "PBE",
  "state": "relaxed",
  "cell": [[5.937, 0.000, 0.000], [-2.968, 5.141, 0.000], [0.000, 0.000, 9.026]],
  "species": ["Sn", "Ga", "Ni", "Ni", "Ni", "Ni", "Ga", "Ni", "Ni", "Tm", "Tm", "Ni", "Tm", "Ni", "Ni"],
  "frac_coords": [[0.000, 0.000, 0.500], [0.333, 0.667, 0.177], [0.500, 0.000, 0.000], [0.133, 0.265, 0.265], [0.000, 0.500, 0.000], [0.265, 0.133, 0.735], [0.667, 0.333, 0.823], [0.867, 0.133, 0.735], [0.867, 0.735, 0.735], [0.667, 0.333, 0.257], [0.000, 0.000, 0.000], [0.133, 0.867, 0.265], [0.333, 0.667, 0.743], [0.500, 0.500, 0.000], [0.735, 0.867, 0.265]],
  "formation_enthalpy_0k_ev_per_atom": -0.12
}



# 2
{
  "formula": "Lu3Mg2MnS8",
  "functional": "PBE",
  "state": "relaxed",
  "cell": [[7.697, 0.002, -0.001], [3.848, 6.575, -0.005], [3.848, 2.275, 6.273]],
  "species": ["Lu", "S", "S", "S", "Lu", "Mg", "Mg", "S", "S", "Lu", "S", "S", "Mn", "S"],
  "frac_coords": [[0.000, 0.500, 0.500], [0.744, 0.267, 0.745], [0.266, 0.239, 0.267], [0.256, 0.733, 0.255], [0.500, 0.500, 0.000], [0.875, 0.874, 0.875], [0.125, 0.126, 0.125], [0.734, 0.759, 0.272], [0.727, 0.239, 0.267], [0.500, 0.500, 0.500], [0.734, 0.761, 0.733], [0.273, 0.761, 0.733], [0.500, 0.000, 0.500], [0.266, 0.241, 0.728]],
  "formation_energy_uncorrected_mev_per_atom": -1581.0
}



# 3
{
  "formula": "ThPaTcBi",
  "functional": "PBE",
  "state": "relaxed",
  "cell": [[-0.383, 3.339, 0.171], [-3.210, -0.319, -0.960], [-2.485, -0.722, 8.548]],
  "species": ["Th", "Tc", "Pa", "Bi"],
  "frac_coords": [[0.500, 0.500, 0.779], [0.000, 0.000, 0.557], [0.500, 0.500, 0.370], [0.000, 0.000, 0.078]],
  "formation_enthalpy_0k_ev_per_atom": -0.27
}



# 4
{
  "formula": "Sr8Tl2Au",
  "functional": "PBE",
  "state": "relaxed",
  "cell": [[5.778, 0.000, 0.000], [0.000, 7.845, 0.125], [-2.889, -3.217, 9.691]],
  "species": ["Sr", "Sr", "Tl", "Au", "Sr", "Sr", "Sr", "Sr", "Sr", "Tl", "Sr"],
  "frac_coords": [[0.594, 0.431, 0.188], [0.406, 0.569, 0.812], [0.817, 0.287, 0.634], [0.500, 0.000, 0.000], [0.209, 0.308, 0.418], [0.658, 0.960, 0.316], [0.029, 0.795, 0.057], [0.791, 0.692, 0.582], [0.342, 0.040, 0.684], [0.183, 0.713, 0.366], [0.971, 0.205, 0.943]],
  "formation_enthalpy_0k_ev_per_atom": -0.31
}



Number 3 is which compound?
ThPaTcBi